Compound: VCuP3
Source: Alexandria
Functional: PBE
Structure: optimized geometry

For the raw total energy, the calculation gives -4.99 eV per atom. The calculation puts the formation energy at 896.8 meV per atom. The energy relative to the lowest polymorph listed for this composition is 361 meV per atom.

It has space group Pm-3m (No. 221), with a = 4.454 Å, b = 4.454 Å, c = 4.454 Å, α = 90.00°, β = 90.00° and γ = 90.00°. The asymmetric unit holds V at (0.000, 0.000, 0.000), Cu at (0.500, 0.500, 0.500) and P at (0.000, 0.500, 0.500).